No. 1
Density functional theory data (PBE) for a relaxed structure of CdSb6Se8I4.

The structure in POSCAR format:
```
CdSb6Se8I4
1.0
-0.0406 -4.3614 -6.2540
7.7552 4.7540 -2.3579
4.1490 -4.7463 6.9942
Cd I Sb Se
1 4 6 8
direct
0.0000 0.0000 0.0000
0.6498 0.3514 0.1512
0.3619 0.2790 0.4835
0.6381 0.7210 0.5165
0.3502 0.6486 0.8488
0.2466 0.6490 0.1414
0.7748 0.7052 0.2060
0.2400 0.9426 0.4370
0.7600 0.0574 0.5630
0.2252 0.2948 0.7940
0.7534 0.3510 0.8586
0.0945 0.3156 0.0330
0.3423 0.9386 0.1845
0.9016 0.9969 0.2776
0.1008 0.6491 0.3844
0.8992 0.3509 0.6156
0.0984 0.0031 0.7224
0.6577 0.0614 0.8155
0.9055 0.6844 0.9670
```

Computed properties:
Total energy ... -66.0 eV for the cell shown
Calculated volume ... 632 Å³/cell
Space-group type ... P-1 (2)

No. 2
Density functional theory data (PBE) for a relaxed structure of YCdSbI2.

The structure in POSCAR format:
```
YCdSbI2
1.0
-1.4268 3.8642 1.5115
-0.9682 -3.6939 2.1610
9.1121 1.0592 5.8932
Cd I Sb Y
1 2 1 1
direct
0.0000 0.0000 0.1538
0.6667 0.3333 0.3188
0.0000 0.0000 0.6738
0.3333 0.6667 0.0033
0.6667 0.3333 0.8503
```

Computed properties:
Total energy ... -18.4 eV for the cell shown
Calculated volume ... 182 Å³/cell
Space-group type ... P3m1 (156)

No. 3
Density functional theory data (PBE) for a relaxed structure of SmCdI.

The structure in POSCAR format:
```
SmCdI
1.0
-0.3014 6.8136 -2.5576
1.1416 -1.2831 -3.5529
-6.7164 -2.9064 -1.1084
Cd I Sm
2 2 2
direct
0.1551 0.7500 0.0048
0.8449 0.2500 0.9952
0.2348 0.2500 0.4765
0.7652 0.7500 0.5235
0.5130 0.2500 0.2114
0.4870 0.7500 0.7886
```

Computed properties:
Calculated volume ... 204 Å³/cell
Relative energy among the computed polymorphs ... 0.0 kJ per mole of atoms
Space-group type ... P2_1/m (11)

No. 4
Density functional theory data (PBE) for a relaxed structure of Sm2CdI3.

The structure in POSCAR format:
```
Sm2CdI3
1.0
-2.4197 6.5252 0.8430
-3.5914 -1.4787 1.1371
3.1636 -2.2421 7.0763
Cd I Sm
1 3 2
direct
0.2591 0.0000 0.2900
0.7717 0.5000 0.2688
0.2476 0.5000 0.7240
0.7303 0.0000 0.7242
0.4921 0.0000 0.0035
0.9992 0.5000 0.9894
```

Computed properties:
Total energy ... -20.0 eV for the cell shown
Calculated volume ... 219 Å³/cell
Space-group type ... Pm (6)

No. 5
Density functional theory data (PBE) for a relaxed structure of SmCdI.

The structure in POSCAR format:
```
SmCdI
1.0
3.3910 -1.9587 0.0000
3.3910 1.9587 0.0000
-2.2995 0.0000 7.7300
Cd I Sm
1 1 1
direct
0.2344 0.2344 0.7081
0.7645 0.7645 0.2885
0.0012 0.0012 0.0034
```

Computed properties:
Calculated volume ... 103 Å³/cell
Relative energy among the computed polymorphs ... 3.2 kJ per mole of atoms
Space-group type ... Cm (8)

No. 6
Density functional theory data (PBE) for a relaxed structure of SmCdI.

The structure in POSCAR format:
```
SmCdI
1.0
-5.2334 -2.1377 3.3865
2.2647 -0.8038 2.9925
1.2022 8.3162 1.3238
Cd I Sm
2 2 2
direct
0.3324 0.5000 0.3257
0.6676 0.5000 0.6743
0.8007 0.0000 0.2830
0.1993 0.0000 0.7170
0.0000 0.0000 0.0000
0.5000 0.5000 0.0000
```

Computed properties:
Calculated volume ... 202 Å³/cell
Relative energy among the computed polymorphs ... 5.9 kJ per mole of atoms
Space-group type ... P2/m (10)

No. 7
Density functional theory data (PBE) for a relaxed structure of TaCd3I6.

The structure in POSCAR format:
```
TaCd3I6
1.0
7.2852 0.0000 0.0000
-3.6426 6.3092 0.0000
0.0000 0.0000 8.1485
Cd I Ta
3 6 1
direct
0.0000 0.0000 0.5000
0.6667 0.3333 0.5000
0.3333 0.6667 0.5000
0.6974 0.0000 0.2067
0.3026 0.3026 0.2067
0.0000 0.6974 0.2067
0.3026 0.0000 0.7933
0.0000 0.3026 0.7933
0.6974 0.6974 0.7933
0.0000 0.0000 0.0000
```

Computed properties:
Total energy ... -25.5 eV for the cell shown
Calculated volume ... 375 Å³/cell
Space-group type ... P-31m (162)

No. 8
Density functional theory data (PBE) for a relaxed structure of Tl4CdI6.

The structure in POSCAR format:
```
Tl4CdI6
1.0
-0.6838 -5.2385 7.7640
6.2329 -6.0652 -3.5432
7.3436 5.1420 4.1161
Cd I Tl
2 12 8
direct
0.0000 0.0000 0.0000
0.5000 0.5000 0.5000
0.3092 0.1332 0.0000
0.8668 0.3092 0.0000
0.1332 0.6908 0.0000
0.6908 0.8668 0.0000
0.5000 0.5000 0.2075
0.0000 0.0000 0.2925
0.3668 0.1908 0.5000
0.8092 0.3668 0.5000
0.1908 0.6332 0.5000
0.6332 0.8092 0.5000
0.0000 0.0000 0.7075
0.5000 0.5000 0.7925
0.6545 0.1545 0.2500
0.1545 0.3455 0.2500
0.8455 0.6545 0.2500
0.3455 0.8455 0.2500
0.6545 0.1545 0.7500
0.1545 0.3455 0.7500
0.8455 0.6545 0.7500
0.3455 0.8455 0.7500
```

Computed properties:
Total energy ... -53.1 eV for the cell shown
Calculated volume ... 870 Å³/cell
Space-group type ... P4/mnc (128)

No. 9
Density functional theory data (PBE) for a relaxed structure of Tl3Cd2I7.

The structure in POSCAR format:
```
Tl3Cd2I7
1.0
15.2308 0.0000 0.0000
0.0000 14.0557 0.0000
0.0000 0.0000 4.5873
Cd I Tl
4 14 6
direct
0.8876 0.2407 0.5000
0.3876 0.2593 0.5000
0.6124 0.7407 0.5000
0.1124 0.7593 0.5000
0.8054 0.1559 0.0000
0.3054 0.3441 0.0000
0.6946 0.6559 0.0000
0.1946 0.8441 0.0000
0.0000 0.0000 0.5000
0.3181 0.0680 0.5000
0.5645 0.2042 0.5000
0.0645 0.2958 0.5000
0.8181 0.4320 0.5000
0.5000 0.5000 0.5000
0.1819 0.5680 0.5000
0.9355 0.7042 0.5000
0.4355 0.7958 0.5000
0.6819 0.9320 0.5000
0.5000 0.0000 0.0000
0.1371 0.1066 0.0000
0.6371 0.3934 0.0000
0.0000 0.5000 0.0000
0.3629 0.6066 0.0000
0.8629 0.8934 0.0000
```

Computed properties:
Total energy ... -54.4 eV for the cell shown
Calculated volume ... 982 Å³/cell
Space-group type ... Pbam (55)

No. 10
Density functional theory data (PBE) for a relaxed structure of ZnCdI4.

The structure in POSCAR format:
```
ZnCdI4
1.0
-1.7224 1.6905 -3.5743
1.6331 -3.2464 -2.3224
-11.0851 -7.0218 2.0206
Cd I Zn
1 4 1
direct
0.0000 0.0000 0.0000
0.0000 0.5000 0.1377
0.5000 0.0000 0.3807
0.0000 0.5000 0.6193
0.5000 0.0000 0.8623
0.5000 0.5000 0.5000
```

Computed properties:
Total energy ... -11.9 eV for the cell shown
Calculated volume ... 247 Å³/cell
Space-group type ... P-4m2 (115)

No. 11
Density functional theory data (PBE) for a relaxed structure of Cd7In.

The structure in POSCAR format:
```
Cd7In
1.0
6.2605 0.0000 0.0000
-3.1303 5.4218 0.0000
0.0000 0.0000 5.2849
Cd In
7 1
direct
0.8350 0.1650 0.0000
0.3300 0.1650 0.0000
0.3333 0.6667 0.0000
0.8350 0.6700 0.0000
0.1671 0.3341 0.5000
0.1671 0.8329 0.5000
0.6659 0.8329 0.5000
0.6667 0.3333 0.5000
```

Computed properties:
Total energy ... -8.8 eV for the cell shown
Calculated volume ... 179 Å³/cell
Space-group type ... P-6m2 (187)

No. 12
Density functional theory data (PBE) for a relaxed structure of CdIn2Ir2.

The structure in POSCAR format:
```
CdIn2Ir2
1.0
3.0056 -3.0056 0.0000
3.0056 3.0056 0.0000
-3.0056 0.0000 5.8396
Cd In Ir
1 2 2
direct
0.0000 0.0000 0.0000
0.7500 0.2500 0.5000
0.2500 0.7500 0.5000
0.6063 0.6063 0.2126
0.3937 0.3937 0.7874
```

Computed properties:
Total energy ... -23.2 eV for the cell shown
Calculated volume ... 106 Å³/cell
Space-group type ... I4/mmm (139)

No. 13
Density functional theory data (PBE) for a relaxed structure of CdInIr2.

The structure in POSCAR format:
```
CdInIr2
1.0
0.0000 3.2609 3.2609
3.2609 0.0000 3.2609
3.2609 3.2609 0.0000
Cd In Ir
1 1 2
direct
0.2500 0.2500 0.2500
0.5000 0.5000 0.5000
0.0000 0.0000 0.0000
0.7500 0.7500 0.7500
```

Computed properties:
Total energy ... -20.0 eV for the cell shown
Calculated volume ... 69 Å³/cell
Space-group type ... F-43m (216)

No. 14
Density functional theory data (PBE) for a relaxed structure of Cd2InIr.

The structure in POSCAR format:
```
Cd2InIr
1.0
-4.2367 -1.6676 1.3357
-1.7361 1.0881 4.2798
-3.6978 2.9489 0.3806
Cd In Ir
2 1 1
direct
0.0000 0.0000 0.0000
0.7500 0.7500 0.7500
0.5000 0.5000 0.5000
0.2500 0.2500 0.2500
```

Computed properties:
Total energy ... -12.9 eV for the cell shown
Calculated volume ... 76 Å³/cell
Space-group type ... F-43m (216)

No. 15
Density functional theory data (PBE) for a relaxed structure of KCd2InIr.

The structure in POSCAR format:
```
KCd2InIr
1.0
-3.2820 -3.9704 -1.3110
-0.8908 -0.9644 5.1508
-3.9532 3.2902 -0.0677
Cd In Ir K
2 1 1 1
direct
0.5000 0.0000 0.0000
0.0000 0.5000 0.0000
0.0000 0.0000 0.5000
0.0000 0.0000 0.0000
0.5000 0.5000 0.5000
```

Computed properties:
Total energy ... -15.1 eV for the cell shown
Calculated volume ... 145 Å³/cell
Space-group type ... P4/mmm (123)

No. 16
Density functional theory data (PBE) for a relaxed structure of Li4CdInIr2.

The structure in POSCAR format:
```
Li4CdInIr2
1.0
-2.8945 -0.6705 -3.3081
3.3664 -0.8911 -2.7649
-0.3476 -6.0812 1.5367
Cd In Ir Li
1 1 2 4
direct
0.0000 0.0000 0.0000
0.5000 0.5000 0.5000
0.5000 0.0000 0.2581
0.0000 0.5000 0.7419
0.5000 0.5000 0.0000
0.0000 0.5000 0.2460
0.0000 0.0000 0.5000
0.5000 0.0000 0.7540
```

Computed properties:
Total energy ... -30.5 eV for the cell shown
Calculated volume ... 124 Å³/cell
Space-group type ... P-4m2 (115)

No. 17
Density functional theory data (PBE) for a relaxed structure of Li4CdIn2Ir.

The structure in POSCAR format:
```
Li4CdIn2Ir
1.0
-2.5639 -1.7903 -3.3370
-1.7384 -3.0238 2.9579
-4.8039 4.1792 1.4488
Cd In Ir Li
1 2 1 4
direct
0.5000 0.5000 0.0000
0.5000 0.0000 0.2758
0.0000 0.5000 0.7242
0.0000 0.0000 0.5000
0.0000 0.0000 0.0000
0.0000 0.5000 0.2663
0.5000 0.5000 0.5000
0.5000 0.0000 0.7337
```

Computed properties:
Total energy ... -25.0 eV for the cell shown
Calculated volume ... 137 Å³/cell
Space-group type ... P-4m2 (115)

No. 18
Density functional theory data (PBE) for a relaxed structure of Li2MgCdIn2Ir2.

The structure in POSCAR format:
```
Li2MgCdIn2Ir2
1.0
4.5700 0.0000 0.0000
0.0000 4.5700 0.0000
0.0000 0.0000 6.4642
Cd In Ir Li Mg
1 2 2 2 1
direct
0.5000 0.5000 0.0000
0.0000 0.0000 0.0000
0.5000 0.5000 0.5000
0.0000 0.5000 0.2561
0.5000 0.0000 0.7439
0.5000 0.0000 0.2494
0.0000 0.5000 0.7506
0.0000 0.0000 0.5000
```

Computed properties:
Total energy ... -32.0 eV for the cell shown
Calculated volume ... 135 Å³/cell
Space-group type ... P-4m2 (115)

No. 19
Density functional theory data (PBE) for a relaxed structure of Li2NbCdIn2Ir2.

The structure in POSCAR format:
```
Li2NbCdIn2Ir2
1.0
-1.6359 1.7044 -3.8962
-2.4070 -3.8127 -0.6573
-4.9915 2.5942 3.2306
Cd In Ir Li Nb
1 2 2 2 1
direct
0.0000 0.0000 0.5000
0.0000 0.0000 0.0000
0.5000 0.5000 0.5000
0.0000 0.5000 0.2233
0.5000 0.0000 0.7767
0.5000 0.0000 0.2625
0.0000 0.5000 0.7375
0.5000 0.5000 0.0000
```

Computed properties:
Total energy ... -40.5 eV for the cell shown
Calculated volume ... 135 Å³/cell
Space-group type ... P-4m2 (115)

No. 20
Density functional theory data (PBE) for a relaxed structure of Li2Cd2In2NiIr.

The structure in POSCAR format:
```
Li2Cd2In2NiIr
1.0
4.5435 0.0000 0.0000
0.0000 4.5435 0.0000
0.0000 0.0000 6.4110
Cd In Ir Li Ni
2 2 1 2 1
direct
0.5000 0.0000 0.2609
0.0000 0.5000 0.7391
0.0000 0.5000 0.2532
0.5000 0.0000 0.7468
0.0000 0.0000 0.0000
0.5000 0.5000 0.0000
0.0000 0.0000 0.5000
0.5000 0.5000 0.5000
```

Computed properties:
Total energy ... -27.3 eV for the cell shown
Calculated volume ... 132 Å³/cell
Space-group type ... P-4m2 (115)